[1]
SrLi2Se: PBEsol geometry, meta-GGA SCAN.

* VASP energy: -12.37 eV per atom

a b c (Å): 7.3167 7.3167 7.3167
angles (deg): 90.00 90.00 90.00
Last column: nearest neighbours and their distance in Å.
Space group F-43m (No. 216)
Inequivalent atoms, fractional coordinates:
1 Sr 0.0000 0.0000 0.0000 x4  4 Se 3.17, 4 Li 3.17
2 Li 0.0000 0.0000 0.5000 x4  4 Li 3.17, 4 Se 3.17
3 Li 0.2500 0.2500 0.2500 x4  4 Li 3.17, 4 Sr 3.17
4 Se 0.2500 0.2500 0.7500 x4  4 Li 3.17, 4 Sr 3.17

[2]
Li2TaSe: PBEsol geometry, meta-GGA SCAN.

* VASP energy: -22.86 eV per atom

a b c (Å): 3.1667 4.2524 4.6137
angles (deg): 90.00 90.00 90.00
Last column: nearest neighbours and their distance in Å.
Space group Pmmm (No. 47)
Inequivalent atoms, fractional coordinates:
1 Li 0.0000 0.0000 0.0000 x1  4 Li 2.65, 4 Se 2.80
2 Li 0.5000 0.5000 0.0000 x1  4 Li 2.65, 4 Ta 2.80
3 Ta 0.0000 0.5000 0.5000 x1  4 Se 2.65, 4 Li 2.80
4 Se 0.5000 0.0000 0.5000 x1  4 Ta 2.65, 4 Li 2.80

[3]
LiTaSe3: PBEsol geometry, meta-GGA SCAN.

* VASP energy: -26.38 eV per atom

a b c (Å): 5.0140 5.0140 5.0140
angles (deg): 90.00 90.00 90.00
Last column: nearest neighbours and their distance in Å.
Space group Pm-3m (No. 221)
Inequivalent atoms, fractional coordinates:
1 Li 0.0000 0.0000 0.0000 x1  12 Se 3.55
2 Ta 0.5000 0.5000 0.5000 x1  6 Se 2.51
3 Se 0.0000 0.5000 0.5000 x3  2 Ta 2.51

[4]
LiTaSe2: PBEsol geometry, meta-GGA SCAN.

* VASP energy: -27.92 eV per atom

a b c (Å): 3.7121 3.7121 5.1284
angles (deg): 90.00 90.00 90.00
Last column: nearest neighbours and their distance in Å.
Space group P4/mmm (No. 123)
Inequivalent atoms, fractional coordinates:
1 Li 0.0000 0.0000 0.0000 x1  6 Se 2.56-2.62
2 Ta 0.5000 0.5000 0.5000 x1  6 Se 2.56-2.62
3 Se 0.0000 0.0000 0.5000 x1  2 Li 2.56, 4 Ta 2.62
4 Se 0.5000 0.5000 0.0000 x1  2 Ta 2.56, 4 Li 2.62

[5]
Li2TaSe: PBEsol geometry, meta-GGA SCAN.

* VASP energy: -22.77 eV per atom

a b c (Å): 2.7276 4.8524 5.2425
angles (deg): 90.00 90.14 90.00
Last column: nearest neighbours and their distance in Å.
Space group Pm (No. 6)
Inequivalent atoms, fractional coordinates:
1 Li 0.0000 0.0000 0.0000 x1  4 Li 2.73, 4 Ta 2.93-2.97
2 Li 0.0068 0.5000 0.7627 x1  2 Se 2.61, 4 Li 2.73
3 Ta 0.5027 0.0000 0.5029 x1  2 Se 2.58, 2 Ta 2.73
4 Se 0.5031 0.5000 0.3379 x1  2 Ta 2.58, 2 Li 2.61, 2 Se 2.73

[6]
LiTbSe2: PBEsol geometry, meta-GGA SCAN.

* VASP energy: -24.22 eV per atom

a b c (Å): 5.6391 5.6391 11.4016
angles (deg): 90.00 90.00 90.00
Last column: nearest neighbours and their distance in Å.
Space group I4_1/amd (No. 141, origin choice 2)
Inequivalent atoms, fractional coordinates:
1 Li 0.0000 0.2500 0.3750 x4  6 Se 2.82-2.87
2 Tb 0.0000 0.2500 0.8750 x4  6 Se 2.82-2.83
3 Se 0.0000 0.2500 0.1232 x8  3 Tb 2.82-2.83, 3 Li 2.82-2.87

[7]
LiTbSe2: PBEsol geometry, meta-GGA SCAN.

* VASP energy: -24.15 eV per atom

a b c (Å): 4.0326 4.0326 5.5397
angles (deg): 90.00 90.00 90.00
Last column: nearest neighbours and their distance in Å.
Space group P4/mmm (No. 123)
Inequivalent atoms, fractional coordinates:
1 Li 0.0000 0.0000 0.0000 x1  6 Se 2.77-2.85
2 Tb 0.5000 0.5000 0.5000 x1  6 Se 2.77-2.85
3 Se 0.0000 0.0000 0.5000 x1  2 Li 2.77, 4 Tb 2.85
4 Se 0.5000 0.5000 0.0000 x1  2 Tb 2.77, 4 Li 2.85

[8]
LiTbSe2: PBEsol geometry, meta-GGA SCAN.

* VASP energy: -24.23 eV per atom

a b c (Å): 4.0274 4.0274 19.1392
angles (deg): 90.00 90.00 120.00
Last column: nearest neighbours and their distance in Å.
Space group R-3m (No. 166, hexagonal axes)
Inequivalent atoms, fractional coordinates:
1 Li 0.0000 0.0000 0.0000 x3  6 Se 2.80
2 Tb 0.0000 0.0000 0.5000 x3  6 Se 2.84
3 Se 0.0000 0.0000 0.2521 x6  3 Li 2.80, 3 Tb 2.84

[9]
LiTcSe2: PBEsol geometry, meta-GGA SCAN.

* VASP energy: -19.36 eV per atom

a b c (Å): 3.6309 3.6309 9.6864
angles (deg): 90.00 90.00 90.00
Last column: nearest neighbours and their distance in Å.
Space group I-4m2 (No. 119)
Inequivalent atoms, fractional coordinates:
1 Li 0.0000 0.0000 0.0000 x2  4 Se 2.57
2 Tc 0.0000 0.5000 0.7500 x2  4 Se 2.57
3 Se 0.0000 0.0000 0.5000 x2  4 Li 2.57
4 Se 0.0000 0.5000 0.2500 x2  4 Tc 2.57

[10]
Li2TeSe: PBEsol geometry, meta-GGA SCAN.

* VASP energy: -16.31 eV per atom

a b c (Å): 3.2707 3.2707 8.1471
angles (deg): 90.00 90.00 90.00
Last column: nearest neighbours and their distance in Å.
Space group P4mm (No. 99)
Inequivalent atoms, fractional coordinates:
1 Li 0.0000 0.0000 0.0000 x1  4 Se 2.58, 1 Te 2.81
2 Li 0.5000 0.5000 0.4381 x1  1 Se 2.43
3 Te 0.0000 0.0000 0.6551 x1  5 Li 2.81-2.91
4 Se 0.5000 0.5000 0.1402 x1  5 Li 2.43-2.58

[11]
LiTeSe2: PBEsol geometry, meta-GGA SCAN.

* VASP energy: -20.42 eV per atom

a b c (Å): 5.6072 5.6072 5.6641
angles (deg): 90.00 90.00 90.00
Last column: nearest neighbours and their distance in Å.
Space group I4/mmm (No. 139)
Inequivalent atoms, fractional coordinates:
1 Li 0.0000 0.0000 0.0000 x2  4 Se 2.80, 2 Te 2.83
2 Te 0.0000 0.0000 0.5000 x2  4 Se 2.80, 2 Li 2.83
3 Se 0.0000 0.5000 0.0000 x4  2 Te 2.80, 2 Li 2.80, 2 Se 2.83

[12]
LiTeSe: PBEsol geometry, meta-GGA SCAN.

* VASP energy: -20.22 eV per atom

a b c (Å): 6.4294 6.4294 6.4294
angles (deg): 90.00 90.00 90.00
Last column: nearest neighbours and their distance in Å.
Space group F-43m (No. 216)
Inequivalent atoms, fractional coordinates:
1 Li 0.0000 0.0000 0.0000 x4  4 Se 2.78, 4 Te 2.78
2 Te 0.2500 0.2500 0.2500 x4  4 Li 2.78
3 Se 0.2500 0.2500 0.7500 x4  4 Li 2.78

[13]
LiTeSe2: PBEsol geometry, meta-GGA SCAN.

* VASP energy: -20.45 eV per atom

a b c (Å): 12.2957 4.0565 4.0600
angles (deg): 90.00 108.89 90.00
Last column: nearest neighbours and their distance in Å.
Space group Cm (No. 8)
Inequivalent atoms, fractional coordinates:
1 Li 0.0000 0.0000 0.0000 x2  5 Se 2.67-2.88
2 Te 0.2902 0.0000 0.2963 x2  5 Se 2.58-2.88
3 Se 0.0123 0.5000 0.5155 x2  1 Te 2.58, 4 Li 2.86-2.88
4 Se 0.2703 0.5000 0.7767 x2  1 Li 2.67, 4 Te 2.88

[14]
Li2TeSe: PBEsol geometry, meta-GGA SCAN.

* VASP energy: -15.81 eV per atom

a b c (Å): 3.1914 3.1914 30.9865
angles (deg): 90.00 90.00 120.00
Last column: nearest neighbours and their distance in Å.
Space group R3m (No. 160, hexagonal axes)
Inequivalent atoms, fractional coordinates:
1 Li 0.0000 0.0000 0.0000 x3  3 Se 2.52
2 Li 0.0000 0.0000 0.2391 x3  3 Te 2.80
3 Te 0.0000 0.0000 0.5043 x3  3 Li 2.80
4 Se 0.0000 0.0000 0.7223 x3  3 Li 2.52

[15]
LiTeSe2: PBEsol geometry, meta-GGA SCAN.

* VASP energy: -20.50 eV per atom

a b c (Å): 4.0293 4.0293 5.5686
angles (deg): 90.00 90.00 90.00
Last column: nearest neighbours and their distance in Å.
Space group P4mm (No. 99)
Inequivalent atoms, fractional coordinates:
1 Li 0.0000 0.0000 0.0000 x1  6 Se 2.78-2.85
2 Te 0.5000 0.5000 0.4990 x1  6 Se 2.78-2.85
3 Se 0.0000 0.0000 0.4997 x1  2 Li 2.78-2.79, 4 Te 2.85
4 Se 0.5000 0.5000 0.9993 x1  2 Te 2.78-2.79, 4 Li 2.85

[16]
LiTiSe3: PBEsol geometry, meta-GGA SCAN.

* VASP energy: -16.51 eV per atom

a b c (Å): 4.9211 4.9211 4.9211
angles (deg): 90.00 90.00 90.00
Last column: nearest neighbours and their distance in Å.
Space group Pm-3m (No. 221)
Inequivalent atoms, fractional coordinates:
1 Li 0.0000 0.0000 0.0000 x1  12 Se 3.48
2 Ti 0.5000 0.5000 0.5000 x1  6 Se 2.46
3 Se 0.0000 0.5000 0.5000 x3  2 Ti 2.46

[17]
LiTl2Se: PBEsol geometry, meta-GGA SCAN.

* VASP energy: -42.21 eV per atom

a b c (Å): 4.3893 4.3893 5.0575
angles (deg): 90.00 90.00 90.00
Last column: nearest neighbours and their distance in Å.
Space group P4/mmm (No. 123)
Inequivalent atoms, fractional coordinates:
1 Li 0.0000 0.0000 0.0000 x1  4 Se 3.10, 8 Tl 3.35
2 Tl 0.0000 0.5000 0.5000 x2  4 Tl 3.10, 4 Se 3.35, 4 Li 3.35
3 Se 0.5000 0.5000 0.0000 x1  4 Li 3.10, 8 Tl 3.35

[18]
LiTl2Se: PBEsol geometry, meta-GGA SCAN.

* VASP energy: -42.16 eV per atom

a b c (Å): 5.9470 5.9648 11.2932
angles (deg): 90.00 90.00 90.00
Last column: nearest neighbours and their distance in Å.
Space group Fmmm (No. 69)
Inequivalent atoms, fractional coordinates:
1 Li 0.0000 0.0000 0.0000 x4  4 Se 2.97-2.98, 4 Tl 3.19
2 Tl 0.2500 0.0000 0.2500 x8  4 Tl 2.97-2.98, 2 Se 3.19, 2 Li 3.19
3 Se 0.0000 0.0000 0.5000 x4  4 Li 2.97-2.98, 4 Tl 3.19

[19]
LiTlSe2: PBEsol geometry, meta-GGA SCAN.

* VASP energy: -29.00 eV per atom

a b c (Å): 3.9763 4.8636 9.0544
angles (deg): 90.00 90.00 90.00
Last column: nearest neighbours and their distance in Å.
Space group Immm (No. 71)
Inequivalent atoms, fractional coordinates:
1 Li 0.0000 0.0000 0.0000 x2  4 Se 2.89, 4 Tl 3.14
2 Tl 0.0000 0.0000 0.5000 x2  8 Se 3.14-3.21, 4 Li 3.14
3 Se 0.0000 0.5000 0.2685 x4  2 Li 2.89, 4 Tl 3.14-3.21, 4 Se 3.16

[20]
LiTl2Se: PBEsol geometry, meta-GGA SCAN.

* VASP energy: -42.30 eV per atom

a b c (Å): 7.2210 4.1755 7.2223
angles (deg): 90.00 109.59 90.00
Last column: nearest neighbours and their distance in Å.
Space group Cm (No. 8)
Inequivalent atoms, fractional coordinates:
1 Li 0.0000 0.0000 0.0000 x2  3 Se 2.41
2 Tl 0.0544 0.5000 0.6696 x2  3 Se 3.26-3.28, 3 Li 3.29-3.30, 3 Tl 3.36-3.37
3 Tl 0.2718 0.5000 0.3244 x2  3 Li 3.26-3.29, 3 Se 3.27-3.30, 3 Tl 3.36-3.37
4 Se 0.3321 0.0000 0.9947 x2  3 Li 2.41

[21]
LiTl2Se: PBEsol geometry, meta-GGA SCAN.

* VASP energy: -42.08 eV per atom

a b c (Å): 3.9049 3.9049 6.3579
angles (deg): 90.00 90.00 90.00
Last column: nearest neighbours and their distance in Å.
Space group P4/mmm (No. 123)
Inequivalent atoms, fractional coordinates:
1 Li 0.0000 0.0000 0.0000 x1  2 Se 3.18, 8 Tl 3.21
2 Tl 0.5000 0.5000 0.2565 x2  2 Tl 3.10-3.26, 4 Se 3.17, 4 Li 3.21
3 Se 0.0000 0.0000 0.5000 x1  8 Tl 3.17, 2 Li 3.18

[22]
Li3TlSe: PBEsol geometry, meta-GGA SCAN.

* VASP energy: -20.56 eV per atom

a b c (Å): 4.8129 4.8129 4.8129
angles (deg): 90.00 90.00 90.00
Last column: nearest neighbours and their distance in Å.
Space group Pm-3m (No. 221)
Inequivalent atoms, fractional coordinates:
1 Li 0.0000 0.0000 0.5000 x3  2 Se 2.41
2 Tl 0.5000 0.5000 0.5000 x1  12 Li 3.40
3 Se 0.0000 0.0000 0.0000 x1  6 Li 2.41

[23]
LiTl2Se: PBEsol geometry, meta-GGA SCAN.

* VASP energy: -42.10 eV per atom

a b c (Å): 3.8289 3.8289 23.4098
angles (deg): 90.00 90.00 120.00
Last column: nearest neighbours and their distance in Å.
Space group R-3m (No. 166, hexagonal axes)
Inequivalent atoms, fractional coordinates:
1 Li 0.0000 0.0000 0.0000 x3  6 Tl 2.98
2 Tl 0.0000 0.0000 0.2480 x6  3 Se 2.92, 3 Li 2.98
3 Se 0.0000 0.0000 0.5000 x3  6 Tl 2.92

[24]
LiTlSe2: PBEsol geometry, meta-GGA SCAN.

* VASP energy: -29.28 eV per atom

a b c (Å): 3.9166 3.8130 6.0860
angles (deg): 90.00 97.35 90.00
Last column: nearest neighbours and their distance in Å.
Space group P2/m (No. 10)
Inequivalent atoms, fractional coordinates:
1 Li 0.0000 0.0000 0.0000 x1  4 Se 2.71
2 Tl 0.0000 0.0000 0.5000 x1  2 Li 3.04, 8 Se 3.30-3.32
3 Se 0.4334 0.5000 0.1907 x2  1 Se 2.44, 2 Li 2.71

[25]
Li2WSe: PBEsol geometry, meta-GGA SCAN.

* VASP energy: -23.40 eV per atom

a b c (Å): 5.0183 9.1254 2.6681
angles (deg): 90.00 90.00 90.00
Last column: nearest neighbours and their distance in Å.
Space group Cmmm (No. 65)
Inequivalent atoms, fractional coordinates:
1 Li 0.2500 0.2500 0.0000 x4  4 Li 2.51-2.67
2 W 0.0000 0.0000 0.5000 x2  2 Se 2.51, 2 W 2.67
3 Se 0.0000 0.5000 0.5000 x2  2 W 2.51, 2 Se 2.67

[26]
Li2WSe: PBEsol geometry, meta-GGA SCAN.

* VASP energy: -23.41 eV per atom

a b c (Å): 2.6213 4.6039 5.1479
angles (deg): 90.00 90.05 90.00
Last column: nearest neighbours and their distance in Å.
Space group Pm (No. 6)
Inequivalent atoms, fractional coordinates:
1 Li 0.0000 0.0000 0.0000 x1  4 Li 2.62-2.66, 2 Se 2.72, 4 W 2.93
2 Li 0.0001 0.5000 0.2580 x1  4 Li 2.62-2.66, 4 W 2.88-2.89
3 W 0.4990 0.5000 0.7567 x1  2 Se 2.57, 2 W 2.62
4 Se 0.4980 0.0000 0.5366 x1  2 W 2.57, 2 Se 2.62, 2 Li 2.72

[27]
Li2W2Se: PBEsol geometry, meta-GGA SCAN.

* VASP energy: -32.24 eV per atom

a b c (Å): 3.5675 3.5675 13.3036
angles (deg): 90.00 90.00 90.00
Last column: nearest neighbours and their distance in Å.
Space group I4/mmm (No. 139)
Inequivalent atoms, fractional coordinates:
1 Li 0.0000 0.0000 0.0826 x4  1 Li 2.20
2 W 0.0000 0.5000 0.2500 x4  4 W 2.52
3 Se 0.0000 0.0000 0.5000 x2  8 Li 2.75

[28]
LiWSe2: PBEsol geometry, meta-GGA SCAN.

* VASP energy: -27.67 eV per atom

a b c (Å): 3.6430 3.6430 9.8005
angles (deg): 90.00 90.00 90.00
Last column: nearest neighbours and their distance in Å.
Space group I-4m2 (No. 119)
Inequivalent atoms, fractional coordinates:
1 Li 0.0000 0.0000 0.0000 x2  4 Se 2.58
2 W 0.0000 0.5000 0.7500 x2  4 Se 2.58
3 Se 0.0000 0.0000 0.5000 x2  4 Li 2.58
4 Se 0.0000 0.5000 0.2500 x2  4 W 2.58

[29]
Li2WSe: PBEsol geometry, meta-GGA SCAN.

* VASP energy: -23.44 eV per atom

a b c (Å): 3.6150 3.6150 7.9474
angles (deg): 90.00 90.00 90.00
Last column: nearest neighbours and their distance in Å.
Space group I-4m2 (No. 119)
Inequivalent atoms, fractional coordinates:
1 Li 0.0000 0.0000 0.0000 x2  4 W 2.56, 4 Li 2.69, 4 Se 2.69
2 Li 0.0000 0.5000 0.2500 x2  4 Se 2.56, 4 Li 2.69, 4 W 2.69
3 W 0.0000 0.0000 0.5000 x2  8 Li 2.56-2.69, 4 Se 2.69
4 Se 0.0000 0.5000 0.7500 x2  8 Li 2.56-2.69, 4 W 2.69

[30]
LiWSe2: PBEsol geometry, meta-GGA SCAN.

* VASP energy: -28.22 eV per atom

a b c (Å): 3.3056 3.3056 6.5627
angles (deg): 90.00 90.00 90.00
Last column: nearest neighbours and their distance in Å.
Space group P4mm (No. 99)
Inequivalent atoms, fractional coordinates:
1 Li 0.0000 0.0000 0.0000 x1  4 Se 2.44
2 W 0.5000 0.5000 0.7360 x1  5 Se 2.42-2.60
3 Se 0.0000 0.0000 0.5634 x1  4 W 2.60, 1 Li 2.87
4 Se 0.5000 0.5000 0.1048 x1  1 W 2.42, 4 Li 2.44